The following is a PBE calculation of ZrRe3I after structural relaxation, from the Alexandria database.

Geometry as POSCAR:
```
ZrRe3I
1.0
-3.5080 3.4873 -0.2007
-0.8603 -1.1382 -4.7405
-3.3854 -3.3243 1.4126
I Re Zr
1 3 1
direct
0.5000 0.5000 0.5000
0.0000 0.5000 0.0000
0.0000 0.0000 0.5000
0.5000 0.0000 0.0000
0.0000 0.0000 0.0000
```

Computed properties:
Offset from the most stable computed form, meV per atom: 499
DOS at the Fermi energy, states/eV per atom: 1.8433
Raw formation energy, eV per atom: 2.8117

***

The following is a PBE calculation of Tc2BiO7 after structural relaxation, from the Alexandria database.

Geometry as POSCAR:
```
Tc2BiO7
1.0
-3.5428 -0.0997 1.1906
-0.7719 -5.1599 -2.7291
1.8815 -0.4561 5.5606
Tc Bi O
2 1 7
direct
0.5000 0.6893 0.3107
0.5000 0.3107 0.6893
0.0000 0.0000 0.0000
0.0000 0.6965 0.3035
0.0000 0.3035 0.6965
0.5000 0.0414 0.3191
0.5000 0.9586 0.6809
0.5000 0.3191 0.0414
0.5000 0.6809 0.9586
0.5000 0.5000 0.5000
```

Computed properties:
DOS at the Fermi energy, states/eV per atom: 0.1515
Raw formation energy, eV per atom: -1.2220

***

The following is a PBE calculation of Tl2Zn after structural relaxation, from the Alexandria database.

Geometry as POSCAR:
```
Tl2Zn
1.0
-1.6451 -2.4176 1.7038
-1.5067 -2.9127 -5.5876
6.2923 -4.0058 0.3914
Tl Zn
4 2
direct
0.0000 0.3878 0.8092
0.0000 0.6122 0.1908
0.5000 0.1122 0.3092
0.5000 0.8878 0.6908
0.0000 0.0000 0.0000
0.5000 0.5000 0.5000
```

Computed properties:
Offset from the most stable computed form, meV per atom: 75
DOS at the Fermi energy, states/eV per atom: 0.3735
Formation energy, meV per atom: 151.2

***

| no. | magnetic moment (μB/atom) |
| --- | --- |
| 1 | 0.836 |
| 2 | 0.000 |
| 3 | 0.000 |